<one>
{"formula": "AgPbCl", "functional": "PBE", "state": "optimized geometry", "cell": [[-2.126, -1.741, -2.549], [-0.579, -0.509, 3.587], [-8.197, 9.893, 0.081]], "species": ["Ag", "Ag", "Cl", "Cl", "Pb", "Pb"], "frac_coords": [[0.558, 0.116, 0.000], [0.328, 0.656, 0.500], [0.222, 0.443, 0.138], [0.222, 0.443, 0.862], [0.669, 0.337, 0.672], [0.669, 0.337, 0.328]]}

=====

<two>
{"formula": "AgPbCl", "functional": "PBE", "state": "optimized geometry", "cell": [[3.794, 0.000, 0.000], [-1.897, 3.286, 0.000], [0.000, 0.000, 6.231]], "species": ["Ag", "Pb", "Cl"], "frac_coords": [[0.000, 0.000, 0.021], [0.333, 0.667, 0.685], [0.667, 0.333, 0.295]]}

=====

<three>
{"formula": "AgPbCl", "functional": "PBE", "state": "optimized geometry", "cell": [[5.137, 0.000, 0.000], [-2.568, 4.449, 0.000], [0.000, 0.000, 3.316]], "species": ["Cl", "Ag", "Pb"], "frac_coords": [[0.667, 0.333, 0.387], [0.000, 0.000, 0.068], [0.333, 0.667, 0.544]]}

=====

<four>
{"formula": "AgPbCl", "functional": "PBE", "state": "optimized geometry", "cell": [[-5.311, 1.560, -3.776], [-3.924, -1.438, -4.983], [-2.903, -1.132, 1.632]], "species": ["Cl", "Ag", "Pb"], "frac_coords": [[0.356, 0.356, 0.644], [0.989, 0.989, 0.011], [0.655, 0.655, 0.345]]}

=====

Most stable: <two>